InAgIr2, optimized geometry, DFT GGA-PBE; space-group type = No. 216; total energy = -5.48 eV/atom
1.0
6.452 0.000 0.000
0.000 6.452 0.000
0.000 0.000 6.452
In Ag Ir
4 4 8
Direct
0.000 0.000 0.000
0.000 0.500 0.500
0.500 0.000 0.500
0.500 0.500 0.000
0.250 0.250 0.250
0.250 0.750 0.750
0.750 0.250 0.750
0.750 0.750 0.250
0.000 0.000 0.500
0.000 0.500 0.000
0.250 0.250 0.750
0.250 0.750 0.250
0.500 0.000 0.000
0.500 0.500 0.500
0.750 0.250 0.250
0.750 0.750 0.750